Record 1
Material: Ba3Li2Nd2Tl4
Method: DFT, PBE
State: optimized geometry

Cell lengths 5.479, 5.479, 15.245 Å; angles 90.00, 90.00, 120.00 degrees
Sites, in units of the cell vectors:
Ba1 0.000 0.000 0.741
Ba2 0.000 0.000 0.000
Ba3 0.000 0.000 0.259
Li1 0.667 0.333 0.849
Li2 0.333 0.667 0.151
Nd1 0.667 0.333 0.428
Nd2 0.333 0.667 0.572
Tl1 0.667 0.333 0.142
Tl2 0.333 0.667 0.858
Tl3 0.667 0.333 0.635
Tl4 0.333 0.667 0.365

Calculated values
Formation enthalpy at 0 K ... -0.16 eV/atom

---

Record 2
Material: BaLi2Ni
Method: DFT, PBE
State: optimized geometry

Cell lengths 4.686, 4.841, 4.842 Å; angles 75.30, 90.00, 90.00 degrees
Sites, in units of the cell vectors:
Ba1 0.500 0.750 0.750
Li1 0.000 0.089 0.089
Li2 0.000 0.411 0.411
Ni1 0.500 0.250 0.250

Calculated values
Distance to the lowest polymorph of the same formula ... 10.0 kJ/mol of atoms
Formation enthalpy at 0 K ... 0.20 eV/atom

---

Record 3
Material: BaLiNi
Method: DFT, PBE
State: optimized geometry

Cell lengths 4.230, 4.469, 9.424 Å; angles 103.72, 90.00, 90.00 degrees
Each line ends with the local moment (μB).
Sites, in units of the cell vectors:
Ba1 0.250 0.905 0.810  0.00
Ba2 0.750 0.095 0.190  0.00
Li1 0.750 0.294 0.588  0.01
Li2 0.250 0.706 0.412  0.01
Ni1 0.250 0.527 0.053  0.16
Ni2 0.750 0.473 0.947  0.16

Calculated values
Distance to the lowest polymorph of the same formula ... 3.5 kJ/mol of atoms
Formation enthalpy at 0 K ... 0.07 eV/atom

---

Record 4
Material: BaLi2Ni
Method: DFT, PBE
State: optimized geometry

Cell lengths 5.062, 5.062, 5.062 Å; angles 60.00, 60.00, 60.00 degrees
Sites, in units of the cell vectors:
Ni1 0.000 0.000 0.000
Ba1 0.500 0.500 0.500
Li1 0.250 0.250 0.250
Li2 0.750 0.750 0.750

Calculated values
Distance to the lowest polymorph of the same formula ... 22.3 kJ/mol of atoms
Formation enthalpy at 0 K ... 0.32 eV/atom

---

Record 5
Material: BaLiNi
Method: DFT, PBE
State: optimized geometry

Cell lengths 6.423, 11.610, 4.208 Å; angles 90.00, 90.00, 90.00 degrees
Sites, in units of the cell vectors:
Ba1 0.000 0.307 0.500
Ba2 0.000 0.693 0.500
Ba3 0.500 0.807 0.000
Ba4 0.500 0.193 0.000
Li1 0.311 0.500 0.000
Li2 0.689 0.500 0.000
Li3 0.811 0.000 0.500
Li4 0.189 0.000 0.500
Ni1 0.000 0.900 0.000
Ni2 0.000 0.100 0.000
Ni3 0.500 0.400 0.500
Ni4 0.500 0.600 0.500

Calculated values
Distance to the lowest polymorph of the same formula ... 4.4 kJ/mol of atoms
Formation enthalpy at 0 K ... 0.08 eV/atom

---

Record 6
Material: BaLiNi2
Method: DFT, PBE
State: optimized geometry

Cell lengths 5.136, 5.136, 5.136 Å; angles 129.53, 129.57, 74.13 degrees
Sites, in units of the cell vectors:
Ba1 0.750 0.250 0.500
Li1 0.250 0.750 0.500
Ni1 0.000 0.000 0.000
Ni2 0.500 0.500 0.000

Calculated values
Distance to the lowest polymorph of the same formula ... 38.1 kJ/mol of atoms
Formation enthalpy at 0 K ... 0.45 eV/atom

---

Record 7
Material: BaLi4Ni
Method: DFT, PBE
State: optimized geometry

Cell lengths 5.687, 5.687, 5.687 Å; angles 60.00, 60.00, 60.00 degrees
Sites, in units of the cell vectors:
Ba1 0.000 0.000 0.000
Li1 0.864 0.379 0.379
Li2 0.379 0.379 0.864
Li3 0.379 0.864 0.379
Li4 0.379 0.379 0.379
Ni1 0.750 0.750 0.750

Calculated values
Formation enthalpy at 0 K ... 0.22 eV/atom

---

Record 8
Material: BaLiNi
Method: DFT, PBE
State: optimized geometry

Cell lengths 5.967, 5.968, 3.631 Å; angles 72.28, 72.30, 35.42 degrees
Sites, in units of the cell vectors:
Ba1 0.989 0.989 0.011
Li1 0.717 0.717 0.283
Ni1 0.294 0.294 0.706

Calculated values
Distance to the lowest polymorph of the same formula ... 22.2 kJ/mol of atoms
Formation enthalpy at 0 K ... 0.26 eV/atom

---

Record 9
Material: BaLi3Ni
Method: DFT, PBE
State: optimized geometry

Cell lengths 5.108, 5.108, 5.108 Å; angles 90.00, 90.00, 90.00 degrees
Sites, in units of the cell vectors:
Ni1 0.500 0.500 0.500
Ba1 0.000 0.000 0.000
Li1 0.000 0.500 0.000
Li2 0.000 0.000 0.500
Li3 0.500 0.000 0.000

Calculated values
Distance to the lowest polymorph of the same formula ... 122.5 kJ/mol of atoms
Formation enthalpy at 0 K ... 1.44 eV/atom

---

Record 10
Material: BaLiNi
Method: DFT, PBE
State: optimized geometry

Cell lengths 4.868, 4.835, 14.229 Å; angles 90.00, 90.00, 90.00 degrees
Sites, in units of the cell vectors:
Ni1 0.000 0.000 0.000
Ni2 0.000 0.500 0.000
Ni3 0.500 0.500 0.500
Ni4 0.500 0.000 0.500
Ba1 0.000 0.250 0.392
Ba2 0.000 0.750 0.608
Ba3 0.500 0.750 0.892
Ba4 0.500 0.250 0.108
Li1 0.000 0.250 0.839
Li2 0.000 0.750 0.161
Li3 0.500 0.750 0.339
Li4 0.500 0.250 0.661

Calculated values
Distance to the lowest polymorph of the same formula ... 0.0 kJ/mol of atoms
Formation enthalpy at 0 K ... 0.03 eV/atom

---

Record 11
Material: BaLiNi2
Method: DFT, PBE
State: optimized geometry

Cell lengths 5.998, 5.998, 5.998 Å; angles 41.65, 41.65, 41.65 degrees
Each line ends with the local moment (μB).
Sites, in units of the cell vectors:
Ba1 0.750 0.750 0.750  -0.01
Li1 0.250 0.250 0.250  0.00
Ni1 0.930 0.930 0.930  0.17
Ni2 0.570 0.570 0.570  0.17

Calculated values
Distance to the lowest polymorph of the same formula ... 2.9 kJ/mol of atoms
Formation enthalpy at 0 K ... 0.08 eV/atom

---

Record 12
Material: BaLiNi2
Method: DFT, PBE
State: optimized geometry

Cell lengths 4.181, 4.181, 6.079 Å; angles 69.94, 69.94, 59.99 degrees
Each line ends with the local moment (μB).
Sites, in units of the cell vectors:
Ni1 0.018 0.018 0.947  0.25
Ni2 0.690 0.690 0.932  0.24
Ba1 0.488 0.488 0.533  -0.01
Li1 0.304 0.304 0.088  -0.01

Calculated values
Distance to the lowest polymorph of the same formula ... 0.0 kJ/mol of atoms
Formation enthalpy at 0 K ... 0.05 eV/atom

---

Question: Look up the formation enthalpy at 0 K of the first one.
Answer: -0.16 eV/atom

---

Question: formation enthalpy at 0 K of number 12 (BaLiNi2)?
Answer: 0.05 eV/atom